The following is a PBE calculation of an optimized crystal structure of K3RbAg, from the Alexandria database.

a = 6.8071 Å, b = 6.8071 Å, c = 6.8071 Å
α = 90.00°, β = 90.00°, γ = 90.00°
Last column: nearest neighbours and their distance in Å.
Fractional coordinates of all 5 atoms:
K1 0.0000 0.5000 0.0000  2 Ag 3.40
K2 0.0000 0.0000 0.5000  2 Ag 3.40
K3 0.5000 0.0000 0.0000  2 Ag 3.40
Rb1 0.5000 0.5000 0.5000  12 K 4.81
Ag1 0.0000 0.0000 0.0000  6 K 3.40

- relative energy among the computed polymorphs (meV/atom) = 21
- crystal system = cubic
- volume (Å³/atom) = 63.1
- space-group type = Pm-3m (221)
- E (eV/atom) = -1.3779
- ΔH_f (0 K) (eV/atom) = 0.044